1.
# DyInSnBr6 (PBE-GGA, optimized geometry)
data_DyInSnBr6
_chemical_formula_sum 'Dy1 In1 Sn1 Br6'
_cell_length_a 7.5417
_cell_length_b 7.5417
_cell_length_c 7.1352
_cell_angle_alpha 90.00
_cell_angle_beta 90.00
_cell_angle_gamma 120.00
_symmetry_space_group_name_H-M 'P 1'
_symmetry_Int_Tables_number 1
loop_
_symmetry_equiv_pos_as_xyz
'x,y,z'
loop_
_atom_site_label
_atom_site_fract_x
_atom_site_fract_y
_atom_site_fract_z
Dy1 0.0000 0.0000 0.0000
In1 0.6667 0.3333 0.5000
Sn1 0.3333 0.6667 0.0000
Br1 0.0205 0.3150 0.7716
Br2 0.0205 0.7055 0.2284
Br3 0.2945 0.3150 0.2284
Br4 0.2945 0.9795 0.7716
Br5 0.6850 0.7055 0.7716
Br6 0.6850 0.9795 0.2284
# D(E_F) (states/eV/f.u.): 0.0
# Formation energy (no corrections) (meV per atom): -1249


2.
# AcLaNd4Er2 (PBE-GGA, optimized geometry)
data_AcLaNd4Er2
_chemical_formula_sum 'Ac1 La1 Nd4 Er2'
_cell_length_a 6.3973
_cell_length_b 6.3973
_cell_length_c 10.4496
_cell_angle_alpha 114.16
_cell_angle_beta 114.16
_cell_angle_gamma 48.01
_symmetry_space_group_name_H-M 'P 1'
_symmetry_Int_Tables_number 1
loop_
_symmetry_equiv_pos_as_xyz
'x,y,z'
loop_
_atom_site_label
_atom_site_fract_x
_atom_site_fract_y
_atom_site_fract_z
Ac1 0.0000 0.0000 0.0000
La1 0.0000 0.0000 0.5000
Nd1 0.2486 0.2486 0.8717
Nd2 0.2508 0.2508 0.3774
Nd3 0.7492 0.7492 0.6226
Nd4 0.7514 0.7514 0.1283
Er1 0.4994 0.4994 0.2536
Er2 0.5006 0.5006 0.7464
# D(E_F) (states/eV/f.u.): 14.0
# Electronic total energy (eV per atom): -4.616


3.
# ScSb2Pb (PBE-GGA, optimized geometry)
data_ScSb2Pb
_chemical_formula_sum 'Sc1 Sb2 Pb1'
_cell_length_a 7.6505
_cell_length_b 7.6505
_cell_length_c 7.6505
_cell_angle_alpha 33.39
_cell_angle_beta 33.39
_cell_angle_gamma 33.39
_symmetry_space_group_name_H-M 'P 1'
_symmetry_Int_Tables_number 1
loop_
_symmetry_equiv_pos_as_xyz
'x,y,z'
loop_
_atom_site_label
_atom_site_fract_x
_atom_site_fract_y
_atom_site_fract_z
Sc1 0.0000 0.0000 0.0000
Sb1 0.4018 0.4018 0.4018
Sb2 0.5955 0.5955 0.5955
Pb1 0.8318 0.8318 0.8318
# D(E_F) (states/eV/f.u.): 2.4
# Formation energy (no corrections) (meV per atom): -327


4.
# SnAsS (PBE-GGA, optimized geometry)
data_SnAsS
_chemical_formula_sum 'Sn2 As2 S2'
_cell_length_a 4.2957
_cell_length_b 4.2957
_cell_length_c 9.3779
_cell_angle_alpha 92.48
_cell_angle_beta 92.48
_cell_angle_gamma 84.76
_symmetry_space_group_name_H-M 'P 1'
_symmetry_Int_Tables_number 1
loop_
_symmetry_equiv_pos_as_xyz
'x,y,z'
loop_
_atom_site_label
_atom_site_fract_x
_atom_site_fract_y
_atom_site_fract_z
Sn1 0.1980 0.1980 0.3306
Sn2 0.8020 0.8020 0.6694
As1 0.3261 0.3261 0.6448
As2 0.6739 0.6739 0.3552
S1 0.1350 0.1350 0.8398
S2 0.8650 0.8650 0.1602
# D(E_F) (states/eV/f.u.): 1.5
# Formation energy (no corrections) (meV per atom): 52